Zn2PbCl | GGA-PBE | optimized geometry

Results
As for the uncorrected formation energy: -0.13 eV per atom. The polymorph energy (0 for the lowest one) comes out at 84.1 meV per atom.

Cell and atoms, written as CIF:
```
data_Zn2PbCl
_chemical_formula_sum 'Zn2 Pb1 Cl1'
_space_group_name_H-M_alt 'P 1'
_space_group_IT_number 1
_cell_length_a 3.7123
_cell_length_b 3.8763
_cell_length_c 6.7976
_cell_angle_alpha 90.00
_cell_angle_beta 90.00
_cell_angle_gamma 90.00
loop_
_space_group_symop_operation_xyz
'x,y,z'
loop_
_atom_site_label
_atom_site_type_symbol
_atom_site_fract_x
_atom_site_fract_y
_atom_site_fract_z
Zn1 Zn 0.0000 0.0000 0.0000
Zn2 Zn 0.5000 0.5000 0.2241
Pb1 Pb 0.5000 0.5000 0.8075
Cl1 Cl 0.0000 0.0000 0.3888
```